--- a ---
Here is an optimized crystal structure of Pr2Sc2CI5 from the Open Quantum Materials Database. Energies are from GGA-PBE.

Structure (CIF):
```
data_Pr2Sc2CI5
_symmetry_space_group_name_H-M 'C 1 2/m 1'
_symmetry_Int_Tables_number 12
_symmetry_space_group_name_Hall '-C 2y'
_cell_length_a 18.6731
_cell_length_b 3.9521
_cell_length_c 8.6502
_cell_angle_alpha 90.00
_cell_angle_beta 103.38
_cell_angle_gamma 90.00
loop_
_atom_site_label
_atom_site_fract_x
_atom_site_fract_y
_atom_site_fract_z
Pr1 0.1376 0.0000 0.0687
Sc1 0.0000 0.5000 0.1739
C1 0.0000 0.0000 0.0000
I1 0.0000 0.0000 0.5000
I2 0.1575 0.5000 0.3558
I3 0.1623 0.5000 0.8001
```



--- b ---
Here is an optimized crystal structure of Pr2Sc2CI5 from the Open Quantum Materials Database. Energies are from GGA-PBE.

Structure (CIF):
```
data_Pr2Sc2CI5
_symmetry_space_group_name_H-M 'C 1 2/m 1'
_symmetry_Int_Tables_number 12
_symmetry_space_group_name_Hall '-C 2y'
_cell_length_a 20.0731
_cell_length_b 3.9708
_cell_length_c 8.9028
_cell_angle_alpha 90.00
_cell_angle_beta 102.70
_cell_angle_gamma 90.00
loop_
_atom_site_label
_atom_site_fract_x
_atom_site_fract_y
_atom_site_fract_z
Pr1 0.0008 0.0000 0.1977
Sc1 0.1150 0.5000 0.0558
C1 0.0000 0.5000 0.0000
I1 0.0000 0.5000 0.5000
I2 0.1626 0.0000 0.8532
I3 0.1643 0.0000 0.3038
```



Verdict on stability: a comes out at the bottom.



--- a ---
Here is an optimized crystal structure of Pr2Tm2CI5 from the Open Quantum Materials Database. Energies are from GGA-PBE.

Structure (CIF):
```
data_Pr2Tm2CI5
_symmetry_space_group_name_H-M 'C 1 2/m 1'
_symmetry_Int_Tables_number 12
_symmetry_space_group_name_Hall '-C 2y'
_cell_length_a 19.6494
_cell_length_b 4.0427
_cell_length_c 8.9011
_cell_angle_alpha 90.00
_cell_angle_beta 102.54
_cell_angle_gamma 90.00
loop_
_atom_site_label
_atom_site_fract_x
_atom_site_fract_y
_atom_site_fract_z
Pr1 0.9996 0.0000 0.1968
Tm1 0.1233 0.5000 0.0604
C1 0.0000 0.5000 0.0000
I1 0.0000 0.5000 0.5000
I2 0.1667 0.0000 0.3194
I3 0.1688 0.0000 0.8435
```



--- b ---
Here is an optimized crystal structure of Pr2Tm2CI5 from the Open Quantum Materials Database. Energies are from GGA-PBE.

Structure (CIF):
```
data_Pr2Tm2CI5
_symmetry_space_group_name_H-M 'C 1 2/m 1'
_symmetry_Int_Tables_number 12
_symmetry_space_group_name_Hall '-C 2y'
_cell_length_a 18.9500
_cell_length_b 3.9776
_cell_length_c 8.7503
_cell_angle_alpha 90.00
_cell_angle_beta 103.27
_cell_angle_gamma 90.00
loop_
_atom_site_label
_atom_site_fract_x
_atom_site_fract_y
_atom_site_fract_z
Pr1 0.1385 0.0000 0.0693
Tm1 0.9997 0.5000 0.1832
C1 0.0000 0.0000 0.0000
I1 0.0000 0.0000 0.5000
I2 0.1598 0.5000 0.3556
I3 0.1646 0.5000 0.8036
```



Verdict on stability: b comes out at the bottom.